Density functional theory data (PBE) for crystalline LaNdHoGa at its relaxed geometry.

Cell: 7.738 7.738 7.738 Å, 90.00 90.00 90.00°
Space group F-43m (No. 216)
Inequivalent atoms, fractional coordinates:
La 0.000 0.000 0.000
Nd 0.000 0.000 0.500
Ho 0.250 0.250 0.750
Ga 0.250 0.250 0.250

## Properties
ΔH_f (0 K) = -44 kJ/mol of formula units
V = 463.25 Å³ per cell
Magnetic moment = 0.005 μB/atom

Density functional theory data (PBE) for crystalline La2HoGa12Ni3 at its relaxed geometry.

Cell: 8.5456 8.5456 18.7265 Å, 90.00 90.00 120.00°
Space group R-3m (No. 166, hexagonal axes)
Inequivalent atoms, fractional coordinates:
La 0.0000 0.0000 0.0818
Ho 0.0000 0.0000 0.5000
Ga 0.0728 0.5364 0.3155
Ga 0.0874 0.5437 0.8787
Ni 0.0000 0.5000 0.0000

## Properties
ΔH_f (0 K) = -258 kJ/mol of formula units
V = 1184.33 Å³ per cell
Magnetic moment = 0.000 μB/atom

Density functional theory data (PBE) for crystalline LaHoGaOs at its relaxed geometry.

Cell: 7.136 7.136 7.136 Å, 90.00 90.00 90.00°
Space group F-43m (No. 216)
Inequivalent atoms, fractional coordinates:
La 0.000 0.000 0.000
Ho 0.000 0.000 0.500
Ga 0.250 0.250 0.250
Os 0.250 0.250 0.750

## Properties
ΔH_f (0 K) = -98 kJ/mol of formula units
V = 363.34 Å³ per cell
Magnetic moment = 0.000 μB/atom

Density functional theory data (PBE) for crystalline LaHoGaPb at its relaxed geometry.

Cell: 7.629 7.629 7.629 Å, 90.00 90.00 90.00°
Space group F-43m (No. 216)
Inequivalent atoms, fractional coordinates:
La 0.000 0.000 0.000
Ho 0.000 0.000 0.500
Ga 0.250 0.250 0.750
Pb 0.250 0.250 0.250

## Properties
ΔH_f (0 K) = -181 kJ/mol of formula units
V = 444.03 Å³ per cell
Magnetic moment = 0.000 μB/atom

Density functional theory data (PBE) for crystalline LaHoGaPd at its relaxed geometry.

Cell: 7.283 7.283 7.283 Å, 90.00 90.00 90.00°
Space group F-43m (No. 216)
Inequivalent atoms, fractional coordinates:
La 0.000 0.000 0.000
Ho 0.000 0.000 0.500
Ga 0.250 0.250 0.250
Pd 0.250 0.250 0.750

## Properties
ΔH_f (0 K) = -248 kJ/mol of formula units
V = 386.31 Å³ per cell
E above lowest polymorph = 50.7 meV/atom
Magnetic moment = 0.000 μB/atom

Density functional theory data (PBE) for crystalline La2HoGa3Pd4 at its relaxed geometry.

Cell: 4.343 4.343 11.289 Å, 90.00 90.00 90.00°
Space group P-4m2 (No. 115)
Inequivalent atoms, fractional coordinates:
La 0.000 0.500 0.229
Ho 0.000 0.000 0.500
Ga 0.000 0.500 0.881
Ga 0.500 0.500 0.500
Pd 0.000 0.000 0.000
Pd 0.000 0.500 0.656
Pd 0.500 0.500 0.000

## Properties
ΔH_f (0 K) = -795 kJ/mol of formula units
V = 212.88 Å³ per cell
Magnetic moment = 0.000 μB/atom

Density functional theory data (PBE) for crystalline LaHoGaPd at its relaxed geometry.

Cell: 4.490 4.270 10.442 Å, 90.00 90.00 90.00°
Space group Amm2 (No. 38)
Inequivalent atoms, fractional coordinates:
La 0.000 0.000 0.000
Ho 0.500 0.000 0.717
Ga 0.500 0.000 0.422
Pd 0.000 0.000 0.277

## Properties
ΔH_f (0 K) = -268 kJ/mol of formula units
V = 200.23 Å³ per cell
E above lowest polymorph = 0.0 meV/atom
Magnetic moment = 0.000 μB/atom

Density functional theory data (PBE) for crystalline La2HoGa4Pt3 at its relaxed geometry.

Cell: 4.292 4.292 11.651 Å, 90.00 90.00 90.00°
Space group P-4m2 (No. 115)
Inequivalent atoms, fractional coordinates:
La 0.000 0.500 0.227
Ho 0.000 0.000 0.500
Ga 0.000 0.000 0.000
Ga 0.000 0.500 0.663
Ga 0.500 0.500 0.000
Pt 0.000 0.500 0.877
Pt 0.500 0.500 0.500

## Properties
ΔH_f (0 K) = -880 kJ/mol of formula units
V = 214.64 Å³ per cell
Magnetic moment = 0.000 μB/atom

Density functional theory data (PBE) for crystalline LaHo2Ga2Pt7 at its relaxed geometry.

Cell: 5.812 5.734 14.299 Å, 90.00 99.88 90.00°
Space group C2/m (No. 12)
Inequivalent atoms, fractional coordinates:
La 0.000 0.000 0.000
Ho 0.134 0.000 0.362
Ga 0.112 0.500 0.264
Pt 0.000 0.500 0.000
Pt 0.147 0.500 0.436
Pt 0.181 0.250 0.838

## Properties
ΔH_f (0 K) = -1066 kJ/mol of formula units
V = 469.47 Å³ per cell
Magnetic moment = 0.000 μB/atom

Density functional theory data (PBE) for crystalline La2HoGa3Pt4 at its relaxed geometry.

Cell: 4.329 4.329 11.305 Å, 90.00 90.00 90.00°
Space group P-4m2 (No. 115)
Inequivalent atoms, fractional coordinates:
La 0.000 0.500 0.230
Ho 0.000 0.000 0.500
Ga 0.000 0.500 0.879
Ga 0.500 0.500 0.500
Pt 0.000 0.000 0.000
Pt 0.000 0.500 0.656
Pt 0.500 0.500 0.000

## Properties
ΔH_f (0 K) = -982 kJ/mol of formula units
V = 211.88 Å³ per cell
Magnetic moment = 0.000 μB/atom

Density functional theory data (PBE) for crystalline LaHoGaPt at its relaxed geometry.

Cell: 4.424 3.920 11.361 Å, 90.00 90.00 90.00°
Space group Amm2 (No. 38)
Inequivalent atoms, fractional coordinates:
La 0.000 0.000 0.000
Ho 0.500 0.000 0.284
Ga 0.500 0.000 0.581
Pt 0.000 0.000 0.728

## Properties
ΔH_f (0 K) = -339 kJ/mol of formula units
V = 197.01 Å³ per cell
E above lowest polymorph = 0.0 meV/atom
Magnetic moment = 0.000 μB/atom

Density functional theory data (PBE) for crystalline LaHoGaPt at its relaxed geometry.

Cell: 7.262 7.262 7.262 Å, 90.00 90.00 90.00°
Space group F-43m (No. 216)
Inequivalent atoms, fractional coordinates:
La 0.000 0.000 0.000
Ho 0.000 0.000 0.500
Ga 0.250 0.250 0.750
Pt 0.250 0.250 0.250

## Properties
ΔH_f (0 K) = -305 kJ/mol of formula units
V = 383.04 Å³ per cell
E above lowest polymorph = 88.3 meV/atom
Magnetic moment = 0.000 μB/atom